First-principles (PBE) data for crystalline Dy4Ni2Ir at its relaxed geometry, as listed in Alexandria via LeMat-Bulk.

Results
space-group type = Imma (74)
E_form = -0.40 eV per atom
D(E_F) = 11.0 states/eV per cell

a b c (Å): 7.539 7.539 7.540
angles (deg): 109.28 109.24 109.91
Fractional coordinates of all 14 atoms:
Dy: 0.931 0.239 0.308
Ni: 0.625 0.375 0.250
Ir: 0.250 0.750 0.500
Ni: 0.625 0.875 0.250
Dy: 0.319 0.127 0.808
Dy: 0.319 0.511 0.192
Dy: 0.761 0.069 0.692
Ir: 0.000 0.000 0.000
Dy: 0.377 0.069 0.308
Dy: 0.931 0.623 0.692
Ni: 0.125 0.375 0.750
Dy: 0.490 0.681 0.808
Ni: 0.625 0.375 0.750
Dy: 0.873 0.681 0.192